No. 1
Ba2CuW | GGA-PBE | relaxed

## Properties
**Energy above the lowest structure with this stoichiometry**: 1.74 eV per formula unit

a b c (Å): 4.750 4.750 10.905
angles (deg): 90.00 90.00 90.00
Space group I-4m2 (No. 119)
Inequivalent atoms, fractional coordinates:
Ba 0.000 0.000 0.000 [2 per cell]
Ba 0.000 0.500 0.250 [2 per cell]
Cu 0.000 0.500 0.750 [2 per cell]
W 0.000 0.000 0.500 [2 per cell]

=====

No. 2
Ba2CuW | GGA-PBE | relaxed

## Properties
**Energy above the lowest structure with this stoichiometry**: 0.36 eV per formula unit

a b c (Å): 3.534 5.515 12.037
angles (deg): 90.00 90.00 90.00
Space group Imm2 (No. 44)
Inequivalent atoms, fractional coordinates:
Ba 0.000 0.000 0.000 [2 per cell]
Ba 0.000 0.500 0.206 [2 per cell]
Cu 0.000 0.000 0.431 [2 per cell]
W 0.000 0.500 0.788 [2 per cell]

=====

No. 3
BaCu2W | GGA-PBE | relaxed

## Properties
**Energy above the lowest structure with this stoichiometry**: 1.54 eV per formula unit

a b c (Å): 5.087 5.087 2.986
angles (deg): 90.00 90.00 90.00
Space group P4/mmm (No. 123)
Inequivalent atoms, fractional coordinates:
Ba 0.000 0.000 0.000 [1 per cell]
Cu 0.000 0.500 0.500 [2 per cell]
W 0.500 0.500 0.000 [1 per cell]

=====

No. 4
BaCuW2 | GGA-PBE | relaxed

## Properties
**Energy above the lowest structure with this stoichiometry**: 2.31 eV per formula unit

a b c (Å): 3.242 5.807 9.951
angles (deg): 90.00 90.00 90.00
Space group Imm2 (No. 44)
Inequivalent atoms, fractional coordinates:
Ba 0.000 0.000 0.000 [2 per cell]
Cu 0.000 0.500 0.793 [2 per cell]
W 0.000 0.000 0.510 [2 per cell]
W 0.000 0.500 0.193 [2 per cell]

=====

No. 5
BaCuW2 | GGA-PBE | relaxed

## Properties
**Energy above the lowest structure with this stoichiometry**: 0.00 eV per formula unit

a b c (Å): 3.352 3.264 7.879
angles (deg): 90.00 91.67 90.00
Space group Pm (No. 6)
Inequivalent atoms, fractional coordinates:
Ba 0.000 0.000 0.000 [1 per cell]
Cu 0.483 0.500 0.686 [1 per cell]
W 0.509 0.500 0.342 [1 per cell]
W 0.971 0.000 0.501 [1 per cell]

=====

No. 6
BaCuW2 | GGA-PBE | relaxed

## Properties
**Energy above the lowest structure with this stoichiometry**: 3.31 eV per formula unit

a b c (Å): 3.988 3.988 10.531
angles (deg): 90.00 90.00 90.00
Space group I4/mmm (No. 139)
Inequivalent atoms, fractional coordinates:
Ba 0.000 0.000 0.000 [2 per cell]
Cu 0.000 0.000 0.500 [2 per cell]
W 0.000 0.500 0.250 [4 per cell]

=====

No. 7
BaCu2W | GGA-PBE | relaxed

## Properties
**Energy above the lowest structure with this stoichiometry**: 1.83 eV per formula unit

a b c (Å): 4.960 4.960 17.454
angles (deg): 90.00 90.00 90.00
Space group I4_1/amd (No. 141, origin choice 2)
Inequivalent atoms, fractional coordinates:
Ba 0.000 0.250 0.375 [4 per cell]
Cu 0.000 0.000 0.000 [8 per cell]
W 0.000 0.250 0.875 [4 per cell]

=====

No. 8
BaCuW2 | GGA-PBE | relaxed

## Properties
**Energy above the lowest structure with this stoichiometry**: 3.34 eV per formula unit

a b c (Å): 5.536 10.624 2.803
angles (deg): 90.00 90.00 90.00
Space group Cmmm (No. 65)
Inequivalent atoms, fractional coordinates:
Ba 0.000 0.000 0.000 [2 per cell]
Cu 0.000 0.500 0.000 [2 per cell]
W 0.250 0.250 0.500 [4 per cell]

=====

no.,formation energy (eV per formula unit),calculated density (g cm⁻³)
1,5.00,7.05
2,3.62,7.39
3,3.78,9.63
4,5.02,10.08
5,2.71,10.96
6,6.02,11.28
7,4.08,6.94
8,6.05,11.46